Here is a geometry-optimized LiGaTePd structure from Alexandria via LeMat-Bulk. Energies are from PBE.

* total magnetization: 0.000 μB per atom
* offset from the most stable computed form: 16 meV per atom
* formation energy without anion corrections: -489 meV per atom

abc: 4.2909 4.2909 5.5984
angles: 112.06 112.06 60.30
Closest atoms and distances in Å follow each position.
Atoms (fractional coordinates):
1 Li 0.0000 0.0000 0.0000  3 Ga 2.79-2.81, 3 Te 2.98-3.00, 1 Pd 2.98
2 Ga 0.5797 0.5797 0.7430  3 Pd 2.59-2.60, 3 Li 2.79-2.81
3 Te 0.7760 0.7760 0.3309  3 Pd 2.81, 1 Ga 2.96, 3 Li 2.98-3.00
4 Pd 0.1959 0.1959 0.5914  3 Ga 2.59-2.60, 3 Te 2.81

Here is a geometry-optimized LiGaTePd structure from Alexandria via LeMat-Bulk. Energies are from PBE.

* total magnetization: 0.000 μB per atom
* offset from the most stable computed form: 0 meV per atom
* formation energy without anion corrections: -505 meV per atom

abc: 4.1177 3.0672 6.6913
angles: 90.00 107.35 90.00
Closest atoms and distances in Å follow each position.
Atoms (fractional coordinates):
1 Li 0.0000 0.0000 0.0000  4 Te 2.83, 2 Pd 2.87, 2 Ga 3.00, 2 Li 3.07
2 Ga 0.6653 0.0000 0.3412  4 Pd 2.58
3 Te 0.4095 0.5000 0.8132  1 Pd 2.77, 4 Li 2.83, 2 Te 3.07
4 Pd 0.1842 0.5000 0.3795  4 Ga 2.58, 1 Te 2.77, 2 Li 2.87

Here is a geometry-optimized LiGaTePd structure from Alexandria via LeMat-Bulk. Energies are from PBE.

* total magnetization: 0.000 μB per atom
* offset from the most stable computed form: 30 meV per atom
* formation energy without anion corrections: -476 meV per atom

abc: 4.3040 4.4386 4.9792
angles: 89.85 89.70 69.19
Closest atoms and distances in Å follow each position.
Atoms (fractional coordinates):
1 Li 0.0000 0.0000 0.0000  3 Te 2.65-2.66
2 Ga 0.8874 0.5686 0.5070  3 Pd 2.56-2.82
3 Te 0.3634 0.3764 0.0082  3 Li 2.65-2.66, 2 Pd 2.68
4 Pd 0.5661 0.1771 0.5077  3 Ga 2.56-2.82, 2 Te 2.68

Here is a geometry-optimized LiGaTePd structure from Alexandria via LeMat-Bulk. Energies are from PBE.

* total magnetization: 0.000 μB per atom
* offset from the most stable computed form: 18 meV per atom
* formation energy without anion corrections: -488 meV per atom

abc: 4.5821 4.5902 4.8723
angles: 67.65 67.56 65.99
Closest atoms and distances in Å follow each position.
Atoms (fractional coordinates):
1 Li 0.0000 0.0000 0.0000  3 Pd 2.72-3.03, 2 Te 2.85-2.86, 2 Ga 2.95-3.02
2 Ga 0.2503 0.2536 0.3278  2 Pd 2.48-2.77
3 Te 0.7820 0.7843 0.6567  3 Pd 2.76-2.79, 2 Li 2.85-2.86, 2 Ga 3.03-3.04
4 Pd 0.3947 0.3960 0.7574  2 Ga 2.48-2.77, 1 Li 2.72, 2 Te 2.76

Here is a geometry-optimized Li2ThGaPd4 structure from Alexandria via LeMat-Bulk. Energies are from PBE.

* total magnetization: 0.000 μB per atom
* formation energy: -5.2 eV per formula unit

abc: 8.7285 8.7285 8.7285
angles: 28.57 28.57 28.57
Closest atoms and distances in Å follow each position.
Atoms (fractional coordinates):
1 Li 0.2350 0.2350 0.2350  7 Pd 2.61-2.64
2 Li 0.7650 0.7650 0.7650  7 Pd 2.61-2.64
3 Th 0.0000 0.0000 0.0000  8 Pd 2.97-3.26
4 Ga 0.5000 0.5000 0.5000  8 Pd 2.56-2.65
5 Pd 0.1299 0.1299 0.1299  4 Li 2.61-2.64, 3 Ga 2.65
6 Pd 0.3980 0.3980 0.3980  1 Ga 2.56, 3 Li 2.63
7 Pd 0.6020 0.6020 0.6020  1 Ga 2.56, 3 Li 2.63
8 Pd 0.8701 0.8701 0.8701  4 Li 2.61-2.64, 3 Ga 2.65

Here is a geometry-optimized LiThGa2Pd5 structure from Alexandria via LeMat-Bulk. Energies are from PBE.

* total magnetization: 0.000 μB per atom
* formation energy: -6.2 eV per formula unit

abc: 4.1747 4.1747 9.5043
angles: 90.00 90.00 90.00
Closest atoms and distances in Å follow each position.
Atoms (fractional coordinates):
1 Li 0.0000 0.0000 0.0000  8 Ga 3.20, 8 Pd 3.36
2 Th 0.0000 0.0000 0.5000  12 Pd 2.95-2.97
3 Ga 0.5000 0.5000 0.1290  1 Ga 2.45, 4 Pd 2.52
4 Ga 0.5000 0.5000 0.8710  1 Ga 2.45, 4 Pd 2.52
5 Pd 0.0000 0.5000 0.2771  2 Ga 2.52
6 Pd 0.0000 0.5000 0.7229  2 Ga 2.52
7 Pd 0.5000 0.0000 0.2771  2 Ga 2.52
8 Pd 0.5000 0.0000 0.7229  2 Ga 2.52
9 Pd 0.5000 0.5000 0.5000  4 Th 2.95, 8 Pd 2.97

| no. | volume (A^3/atom) | E (eV/atom) |
| --- | --- | --- |
| 1 | 20.16 | -3.808 |
| 2 | 20.17 | -3.824 |
| 3 | 22.23 | -3.794 |
| 4 | 20.85 | -3.806 |
| 5 | 16.81 | -5.028 |
| 6 | 18.40 | -5.280 |